(1)
A geometry-optimized Mn2CoIr2 structure, computed with PBE.

a = 7.0535 Å, b = 7.0535 Å, c = 2.6528 Å
α = 90.00°, β = 90.00°, γ = 90.00°
Closest atoms and distances in Å follow each position.
Fractional coordinates of all 10 atoms:
Mn1 0.1185 0.3815 0.0000  1 Mn 2.36, 6 Ir 2.46-2.49
Mn2 0.3815 0.8815 0.0000  1 Mn 2.36, 6 Ir 2.46-2.49
Mn3 0.6185 0.1185 0.0000  1 Mn 2.36, 6 Ir 2.46-2.49
Mn4 0.8815 0.6185 0.0000  1 Mn 2.36, 6 Ir 2.46-2.49
Co1 0.0000 0.0000 0.0000  2 Co 2.65, 4 Mn 2.82, 8 Ir 2.92
Co2 0.5000 0.5000 0.0000  2 Co 2.65, 4 Mn 2.82, 8 Ir 2.92
Ir1 0.1743 0.6743 0.5000  6 Mn 2.46-2.49, 2 Ir 2.65
Ir2 0.3257 0.1743 0.5000  6 Mn 2.46-2.49, 2 Ir 2.65
Ir3 0.6743 0.8257 0.5000  6 Mn 2.46-2.49, 2 Ir 2.65
Ir4 0.8257 0.3257 0.5000  6 Mn 2.46-2.49, 2 Ir 2.65

Properties
Energy relative to the lowest polymorph listed for this composition, eV per atom: 0.0000
V, A^3/atom: 13.2
Energy of formation from the pure elements, eV/atom: 0.18
D(E_F), states/eV/atom: 1.49



(2)
A geometry-optimized Ac6PrIn structure, computed with PBE.

a = 11.6577 Å, b = 11.6577 Å, c = 11.6577 Å
α = 153.07°, β = 153.07°, γ = 38.45°
Closest atoms and distances in Å follow each position.
Fractional coordinates of all 8 atoms:
Ac1 0.1170 0.6170 0.5000  2 Pr 3.74, 2 In 3.74, 8 Ac 3.84-4.00
Ac2 0.2499 0.2499 0.0000  12 Ac 3.84-4.00
Ac3 0.3830 0.8830 0.5000  2 Pr 3.74, 2 In 3.74, 8 Ac 3.84-4.00
Ac4 0.6170 0.1170 0.5000  2 Pr 3.74, 2 In 3.74, 8 Ac 3.84-4.00
Ac5 0.7501 0.7501 0.0000  12 Ac 3.84-4.00
Ac6 0.8830 0.3830 0.5000  2 Pr 3.74, 2 In 3.74, 8 Ac 3.84-4.00
Pr1 0.0000 0.0000 0.0000  8 Ac 3.74, 4 In 3.84
In1 0.5000 0.5000 0.0000  8 Ac 3.74, 4 Pr 3.84

Properties
V, A^3/atom: 40.6
Energy of formation from the pure elements, eV/atom: -0.07
D(E_F), states/eV/atom: 1.37



(3)
A geometry-optimized HoSiGe structure, computed with PBE.

a = 8.2970 Å, b = 8.2970 Å, c = 3.8185 Å
α = 90.00°, β = 90.00°, γ = 152.07°
Closest atoms and distances in Å follow each position.
Fractional coordinates of all 6 atoms:
Ho1 0.1026 0.8974 0.7500  6 Si 2.92-3.11, 4 Ge 3.05-3.10
Ho2 0.8974 0.1026 0.2500  6 Si 2.92-3.11, 4 Ge 3.05-3.10
Si1 0.4548 0.5452 0.7500  2 Si 2.40
Si2 0.5452 0.4548 0.2500  2 Si 2.40
Ge1 0.2546 0.7454 0.2500  4 Ge 2.77, 2 Ho 3.05
Ge2 0.7454 0.2546 0.7500  4 Ge 2.77, 2 Ho 3.05

Properties
Energy relative to the lowest polymorph listed for this composition, eV per atom: 0.0000
V, A^3/atom: 20.5
E_form (uncorrected), eV/atom: -0.5759
D(E_F), states/eV/atom: 0.42



(4)
A geometry-optimized Rb2B2H7 structure, computed with PBE.

a = 5.8838 Å, b = 5.8838 Å, c = 4.2555 Å
α = 93.55°, β = 93.55°, γ = 95.17°
Closest atoms and distances in Å follow each position.
Fractional coordinates of all 11 atoms:
Rb1 0.2455 0.7545 0.0000  12 H 2.85-3.16
Rb2 0.7545 0.2455 0.0000  12 H 2.85-3.16
B1 0.3055 0.3055 0.4288  3 H 1.22-1.23
B2 0.6945 0.6945 0.5712  3 H 1.22-1.23
H1 0.1400 0.3761 0.5488  1 B 1.22
H2 0.2811 0.2811 0.1400  1 B 1.23
H3 0.3761 0.1400 0.5488  1 B 1.22
H4 0.5000 0.5000 0.5000  2 B 1.55
H5 0.6239 0.8600 0.4512  1 B 1.22
H6 0.7189 0.7189 0.8600  1 B 1.23
H7 0.8600 0.6239 0.4512  1 B 1.22

Properties
V, A^3/atom: 13.3
D(E_F), states/eV/atom: 0.13
DFT total energy, eV for the cell shown: -40.83



(5)
A geometry-optimized Hf2ScV structure, computed with PBE.

a = 4.5933 Å, b = 4.5933 Å, c = 3.8881 Å
α = 90.00°, β = 90.00°, γ = 90.00°
Closest atoms and distances in Å follow each position.
Fractional coordinates of all 4 atoms:
Hf1 0.0000 0.5000 0.0000  4 Sc 3.01, 4 V 3.01, 4 Hf 3.25
Hf2 0.5000 0.0000 0.0000  4 Sc 3.01, 4 V 3.01, 4 Hf 3.25
Sc1 0.0000 0.0000 0.5000  8 Hf 3.01, 4 V 3.25
V1 0.5000 0.5000 0.5000  8 Hf 3.01, 4 Sc 3.25

Properties
Energy relative to the lowest polymorph listed for this composition, eV per atom: 0.0716
V, A^3/atom: 20.5
Energy of formation from the pure elements, eV/atom: 0.23
D(E_F), states/eV/atom: 1.26



(6)
A geometry-optimized SnMoSe2 structure, computed with PBE.

a = 7.1521 Å, b = 7.1521 Å, c = 7.1521 Å
α = 126.22°, β = 126.22°, γ = 79.52°
Closest atoms and distances in Å follow each position.
Fractional coordinates of all 8 atoms:
Sn1 0.0000 0.0000 0.0000  4 Se 2.95
Sn2 0.7500 0.2500 0.5000  4 Se 2.95
Mo1 0.2500 0.7500 0.5000  4 Se 2.43
Mo2 0.5000 0.5000 0.0000  4 Se 2.43
Se1 0.1915 0.6250 0.0665  2 Mo 2.43
Se2 0.3750 0.4415 0.5665  2 Mo 2.43
Se3 0.5585 0.1250 0.9335  2 Mo 2.43
Se4 0.8750 0.8085 0.4335  2 Mo 2.43

Properties
V, A^3/atom: 28.8
E_form (uncorrected), eV/atom: 0.1569
D(E_F), states/eV/atom: 0.47



Q: V of number 3 (HoSiGe)?
A: 20.5 A^3/atom